No. 1
The following is a DFT calculation (SCAN) of a PBEsol-optimized structure of LaTlFe2.

a b c (Å): 3.485 3.485 6.490
angles (deg): 90.00 90.00 90.00
Last column: magnetic moment on the atom in μB.
Sites, in units of the cell vectors:
Fe: 0.000 0.000 0.679  2.81
Fe: 0.000 0.000 0.321  2.81
Tl: 0.500 0.500 0.500  -0.13
La: 0.500 0.500 0.000  -0.33

electronic total energy: -37.536 eV per atom
energy above the lowest structure with this stoichiometry: 0.216 eV per atom
formation energy: 0.395 eV/atom
space group: P4/mmm

---

No. 2
The following is a DFT calculation (SCAN) of a PBEsol-optimized structure of Hg2OsW.

a b c (Å): 2.832 2.832 10.037
angles (deg): 90.00 90.00 117.36
Sites, in units of the cell vectors:
W: 0.500 0.500 0.272
Os: 0.000 0.000 0.479
Hg: 0.000 0.000 0.015
Hg: 0.500 0.500 0.734

electronic total energy: -68.851 eV per atom
energy above the lowest structure with this stoichiometry: 0.000 eV per atom
formation energy: 0.624 eV/atom
space group: Cmm2

---

No. 3
The following is a DFT calculation (SCAN) of a PBEsol-optimized structure of Ba2BO.

a b c (Å): 4.999 4.999 4.999
angles (deg): 60.00 60.00 60.00
Last column: magnetic moment on the atom in μB.
Sites, in units of the cell vectors:
O: 0.500 0.500 0.500  0.22
Ba: 0.250 0.250 0.250  0.19
Ba: 0.750 0.750 0.750  0.19
B: 0.000 0.000 0.000  0.87

raw formation energy: -426 meV/atom
electronic total energy: -23.616 eV per atom
space group: Fm-3m

---

No. 4
The following is a DFT calculation (SCAN) of a PBEsol-optimized structure of BaFe2GeTe.

a b c (Å): 4.912 4.912 5.679
angles (deg): 90.00 90.00 90.00
Last column: magnetic moment on the atom in μB.
Sites, in units of the cell vectors:
Ba: 0.000 0.000 0.000  -0.21
Ge: 0.000 0.000 0.500  0.03
Te: 0.500 0.500 0.500  0.01
Fe: 0.500 0.000 0.000  2.76
Fe: 0.000 0.500 0.000  2.76

raw formation energy: 1898 meV/atom
electronic total energy: -24.532 eV per atom
space group: P4/mmm